BaHoMn2O5: relaxed, PBE+U.

E = -7.55 eV per atom
V = 123.0 Å³/cell

Cell and atoms, written as CIF:
```
data_BaHoMn2O5
_chemical_formula_sum 'Ba1 Ho1 Mn2 O5'
_cell_length_a 3.9657
_cell_length_b 3.9657
_cell_length_c 7.8219
_cell_angle_alpha 90.00
_cell_angle_beta 90.00
_cell_angle_gamma 90.00
_symmetry_space_group_name_H-M 'P 4/m m m'
_symmetry_Int_Tables_number 123
_symmetry_space_group_name_Hall '-P 4 2'
loop_
_atom_site_label
_atom_site_fract_x
_atom_site_fract_y
_atom_site_fract_z
Ba1 0.0000 0.0000 0.0000
Ho1 0.0000 0.0000 0.5000
Mn1 0.5000 0.5000 0.2672
O1 0.0000 0.5000 0.3213
O2 0.5000 0.5000 0.0000
```

Ba3HoMn2O6: relaxed, PBE+U.

E = -6.85 eV per atom
V = 234.2 Å³/cell

Cell and atoms, written as CIF:
```
data_Ba3HoMn2O6
_chemical_formula_sum 'Ba3 Ho1 Mn2 O6'
_cell_length_a 6.1832
_cell_length_b 6.1832
_cell_length_c 7.0734
_cell_angle_alpha 90.00
_cell_angle_beta 90.00
_cell_angle_gamma 120.00
_symmetry_space_group_name_H-M 'P -3 m 1'
_symmetry_Int_Tables_number 164
_symmetry_space_group_name_Hall '-P 3 2"'
loop_
_atom_site_label
_atom_site_fract_x
_atom_site_fract_y
_atom_site_fract_z
Ba1 0.0000 0.0000 0.0000
Ba2 0.3333 0.6667 0.6316
Ho1 0.0000 0.0000 0.5000
Mn1 0.3333 0.6667 0.1794
O1 0.1674 0.3347 0.3084
```

Ba3HoMn2O9: relaxed, PBE+U.

E = -6.93 eV per atom
V = 208.8 Å³/cell

Cell and atoms, written as CIF:
```
data_Ba3HoMn2O9
_chemical_formula_sum 'Ba3 Ho1 Mn2 O9'
_cell_length_a 5.8045
_cell_length_b 5.8045
_cell_length_c 7.1568
_cell_angle_alpha 90.00
_cell_angle_beta 90.00
_cell_angle_gamma 120.00
_symmetry_space_group_name_H-M 'P -3 m 1'
_symmetry_Int_Tables_number 164
_symmetry_space_group_name_Hall '-P 3 2"'
loop_
_atom_site_label
_atom_site_fract_x
_atom_site_fract_y
_atom_site_fract_z
Ba1 0.0000 0.0000 0.0000
Ba2 0.3333 0.6667 0.6782
Ho1 0.0000 0.0000 0.5000
Mn1 0.3333 0.6667 0.1659
O1 0.0000 0.5000 0.0000
O2 0.1781 0.3562 0.3161
```

Ba2HoMnO5: relaxed, PBE+U.

E = -7.05 eV per atom
V = 623.6 Å³/cell

Cell and atoms, written as CIF:
```
data_Ba2HoMnO5
_chemical_formula_sum 'Ba8 Ho4 Mn4 O20'
_cell_length_a 3.6200
_cell_length_b 15.4607
_cell_length_c 11.1412
_cell_angle_alpha 90.00
_cell_angle_beta 90.00
_cell_angle_gamma 90.00
_symmetry_space_group_name_H-M 'C m c 21'
_symmetry_Int_Tables_number 36
loop_
_symmetry_equiv_pos_as_xyz
'x,y,z'
'-x,-y,z+1/2'
'-x,y,z'
'x,-y,z+1/2'
'x+1/2,y+1/2,z'
'-x+1/2,-y+1/2,z+1/2'
'-x+1/2,y+1/2,z'
'x+1/2,-y+1/2,z+1/2'
loop_
_atom_site_label
_atom_site_fract_x
_atom_site_fract_y
_atom_site_fract_z
Ba1 0.0000 0.1163 0.0000
Ba2 0.0000 0.1314 0.6393
Ho1 0.0000 0.2083 0.3393
Mn1 0.0000 0.4472 0.7497
O1 0.0000 0.0488 0.2991
O2 0.0000 0.2951 0.9665
O3 0.0000 0.3177 0.7082
O4 0.0000 0.3460 0.3259
O5 0.0000 0.4966 0.1010
```

Ba2HoMn2O6: relaxed, PBE+U.

E = -6.73 eV per atom
V = 543.9 Å³/cell

Cell and atoms, written as CIF:
```
data_Ba2HoMn2O6
_chemical_formula_sum 'Ba6 Ho3 Mn6 O18'
_cell_length_a 6.0479
_cell_length_b 6.0479
_cell_length_c 17.1699
_cell_angle_alpha 90.00
_cell_angle_beta 90.00
_cell_angle_gamma 120.00
_symmetry_space_group_name_H-M 'R -3 m'
_symmetry_Int_Tables_number 166
_symmetry_space_group_name_Hall '-R 3 2"'
loop_
_atom_site_label
_atom_site_fract_x
_atom_site_fract_y
_atom_site_fract_z
Ba1 0.0000 0.0000 0.2189
Ho1 0.0000 0.0000 0.0000
Mn1 0.0000 0.0000 0.4415
O1 0.0056 0.5028 0.7502
```

BaHoMn2O8: relaxed, PBE+U.

E = -6.87 eV per atom
V = 212.3 Å³/cell

Cell and atoms, written as CIF:
```
data_BaHoMn2O8
_chemical_formula_sum 'Ba1 Ho1 Mn2 O8'
_cell_length_a 5.6510
_cell_length_b 5.6510
_cell_length_c 7.6779
_cell_angle_alpha 90.00
_cell_angle_beta 90.00
_cell_angle_gamma 120.00
_symmetry_space_group_name_H-M 'P -3'
_symmetry_Int_Tables_number 147
loop_
_symmetry_equiv_pos_as_xyz
'x,y,z'
'-x,-y,-z'
'-y,x-y,z'
'y,-x+y,-z'
'-x+y,-x,z'
'x-y,x,-z'
loop_
_atom_site_label
_atom_site_fract_x
_atom_site_fract_y
_atom_site_fract_z
Ba1 0.0000 0.0000 0.0000
Ho1 0.0000 0.0000 0.5000
Mn1 0.3333 0.6667 0.7656
O1 0.1671 0.3374 0.6952
O2 0.3333 0.6667 0.9812
```